This record from Alexandria via LeMat-Bulk describes a geometry-optimized TaFe2Au structure. The functional is GGA-PBE.

Geometry as extended XYZ:
```
4
Lattice="4.4008 -1.4529 0.0000 4.4008 1.4529 0.0000 -0.9320 0.0000 4.7249" Properties=species:S:1:pos:R:3 pbc="T T T"
Ta 0.0000 0.0000 0.0000
Fe 1.4738 0.0000 3.6039
Fe 6.3957 0.0000 1.1210
Au 3.9347 0.0000 2.3625
```

Summary:
**Energy of formation**: 159 meV/atom

=====

This record from Alexandria via LeMat-Bulk describes a geometry-optimized TaFe2Au structure. The functional is GGA-PBE.

Geometry as extended XYZ:
```
4
Lattice="2.9327 0.0000 0.0000 0.0000 2.9327 0.0000 0.0000 0.0000 6.8784" Properties=species:S:1:pos:R:3 pbc="T T T"
Ta 0.0000 0.0000 0.0000
Fe 0.0000 0.0000 2.9780
Fe 1.4664 1.4664 1.6785
Au 1.4664 1.4664 4.7675
```

Summary:
**Energy of formation**: 22 meV/atom

=====

Number 1: DFT total energy -7.86 eV per atom. Number 2: DFT total energy -7.99 eV per atom.